1.
Material: NaSrCd2Pd
Method: DFT, PBE
State: optimized geometry

The calculation puts the energy above the most stable polymorph in this dataset at 0.0 meV/atom.

The structure belongs to space group P4/mmm (No. 123); the cell edges are 5.370, 5.370 and 5.576 Å and the angles 90.00°, 90.00° and 90.00°. The inequivalent atoms are Na at (0.000, 0.000, 0.000), Sr at (0.500, 0.500, 0.000), Cd at (0.000, 0.500, 0.500) and Pd at (0.500, 0.500, 0.500).

2.
Material: NaSrCd2Pd
Method: DFT, PBE
State: optimized geometry

The calculation puts the energy above the most stable polymorph in this dataset at 23.5 meV/atom.

The structure belongs to space group P4/mmm (No. 123); the cell edges are 5.290, 5.290 and 5.272 Å and the angles 90.00°, 90.00° and 90.00°. The inequivalent atoms are Na at (0.000, 0.000, 0.000), Sr at (0.500, 0.500, 0.000), Cd at (0.000, 0.500, 0.500) and Pd at (0.000, 0.000, 0.500).

3.
Material: NaCdTcPd2
Method: DFT, PBE
State: optimized geometry

The calculation puts the total DFT energy (no corrections) at -3.576 eV per atom.

The structure belongs to space group P4/mmm (No. 123); the cell edges are 4.791, 4.791 and 5.307 Å and the angles 90.00°, 90.00° and 90.00°. The inequivalent atoms are Na at (0.000, 0.000, 0.000), Cd at (0.500, 0.500, 0.000), Tc at (0.000, 0.000, 0.500) and Pd at (0.000, 0.500, 0.500).

4.
Material: NaCdTePd2
Method: DFT, PBE
State: optimized geometry

The uncorrected formation energy comes out at 0.07 eV/atom.

The structure belongs to space group P4/mmm (No. 123); the cell edges are 5.085, 5.085 and 5.653 Å and the angles 90.00°, 90.00° and 90.00°. The inequivalent atoms are Na at (0.000, 0.000, 0.000), Cd at (0.500, 0.500, 0.000), Te at (0.500, 0.500, 0.500) and Pd at (0.000, 0.500, 0.500).

5.
Material: Na2Tl2CdPd5
Method: DFT, PBE
State: optimized geometry

The calculation puts the total DFT energy (no corrections) at -3.602 eV per atom.

The structure belongs to space group P4/mbm (No. 127); the cell edges are 9.919, 9.919 and 4.070 Å and the angles 90.00°, 90.00° and 90.00°. The inequivalent atoms are Na at (0.168, 0.332, 0.000), Tl at (0.132, 0.632, 0.000), Cd at (0.000, 0.000, 0.000), Pd at (0.000, 0.500, 0.500) and Pd at (0.062, 0.807, 0.500).

6.
Material: NaTl2CdPd
Method: DFT, PBE
State: optimized geometry

The calculation puts the energy above the most stable polymorph in this dataset at 46.9 meV/atom.

The structure belongs to space group P4/mmm (No. 123); the cell edges are 5.312, 5.312 and 5.445 Å and the angles 90.00°, 90.00° and 90.00°. The inequivalent atoms are Na at (0.000, 0.000, 0.000), Tl at (0.000, 0.500, 0.500), Cd at (0.500, 0.500, 0.000) and Pd at (0.000, 0.000, 0.500).

7.
Material: NaTl2CdPd
Method: DFT, PBE
State: optimized geometry

The calculation puts the energy above the most stable polymorph in this dataset at 0.0 meV/atom.

The structure belongs to space group P4/mmm (No. 123); the cell edges are 5.336, 5.336 and 5.302 Å and the angles 90.00°, 90.00° and 90.00°. The inequivalent atoms are Na at (0.000, 0.000, 0.000), Tl at (0.000, 0.500, 0.500), Cd at (0.500, 0.500, 0.000) and Pd at (0.500, 0.500, 0.500).

8.
Material: NaZn2CdPd
Method: DFT, PBE
State: optimized geometry

The calculation puts the total DFT energy (no corrections) at -2.083 eV per atom.

The structure belongs to space group P4/mmm (No. 123); the cell edges are 4.882, 4.882 and 5.220 Å and the angles 90.00°, 90.00° and 90.00°. The inequivalent atoms are Na at (0.000, 0.000, 0.000), Zn at (0.000, 0.500, 0.500), Cd at (0.500, 0.500, 0.000) and Pd at (0.500, 0.500, 0.500).

9.
Material: NaPmCd4
Method: DFT, PBE
State: optimized geometry

The calculation puts the energy above the most stable polymorph in this dataset at 48.8 meV/atom.

The structure belongs to space group F-43m (No. 216); the cell edges are 8.444, 8.444 and 8.444 Å and the angles 90.00°, 90.00° and 90.00°. The inequivalent atoms are Na at (0.000, 0.000, 0.000), Pm at (0.250, 0.250, 0.750) and Cd at (0.125, 0.125, 0.375).

10.
Material: Na2Pm2Cd15
Method: DFT, PBE
State: optimized geometry

The calculation puts the energy above the most stable polymorph in this dataset at 77.7 meV/atom.

The structure belongs to space group R-3m (No. 166, hexagonal axes); the cell edges are 10.3105, 10.3105 and 15.8673 Å and the angles 90.00°, 90.00° and 120.00°. The inequivalent atoms are Na at (0.0000, 0.0000, 0.1520), Pm at (0.0000, 0.0000, 0.4080), Cd at (0.0000, 0.3014, 0.5000), Cd at (0.0000, 0.5000, 0.0000) and Cd at (0.0055, 0.5028, 0.6411).

11.
Material: NaPmCd4
Method: DFT, PBE
State: optimized geometry

The calculation puts the energy above the most stable polymorph in this dataset at 16.9 meV/atom.

The structure belongs to space group C2 (No. 5); the cell edges are 8.814, 8.484 and 5.068 Å and the angles 90.00°, 125.08° and 90.00°. The inequivalent atoms are Na at (0.000, 0.000, 0.000), Pm at (0.000, 0.478, 0.500), Cd at (0.224, 0.658, 0.223) and Cd at (0.250, 0.320, 0.251).

12.
Material: NaPmCd14
Method: DFT, PBE
State: optimized geometry

The calculation puts the total DFT energy (no corrections) at -1.269 eV per atom.

The structure belongs to space group P4/mmm (No. 123); the cell edges are 6.589, 6.589 and 8.691 Å and the angles 90.00°, 90.00° and 90.00°. The inequivalent atoms are Na at (0.000, 0.000, 0.000), Pm at (0.500, 0.500, 0.000), Cd at (0.000, 0.000, 0.500), Cd at (0.000, 0.500, 0.000), Cd at (0.000, 0.500, 0.500), Cd at (0.247, 0.247, 0.260) and Cd at (0.500, 0.500, 0.500).

Number 1: volume 160.8 Å³ per cell, magnetic moment 0.00 Bohr magnetons per cell. Number 2: volume 147.5 Å³ per cell, magnetic moment 0.00 Bohr magnetons per cell. Number 3: volume 121.8 Å³ per cell, magnetic moment 0.53 Bohr magnetons per cell. Number 4: volume 146.2 Å³ per cell, magnetic moment 0.00 Bohr magnetons per cell. Number 5: volume 400.5 Å³ per cell, magnetic moment 0.00 Bohr magnetons per cell. Number 6: volume 153.7 Å³ per cell, magnetic moment 0.00 Bohr magnetons per cell. Number 7: volume 151.0 Å³ per cell, magnetic moment 0.00 Bohr magnetons per cell. Number 8: volume 124.4 Å³ per cell, magnetic moment 0.00 Bohr magnetons per cell. Number 9: volume 602.1 Å³ per cell, magnetic moment 0.00 Bohr magnetons per cell. Number 10: volume 1460.8 Å³ per cell, magnetic moment 0.00 Bohr magnetons per cell. Number 11: volume 310.2 Å³ per cell, magnetic moment 0.00 Bohr magnetons per cell. Number 12: volume 377.3 Å³ per cell, magnetic moment 0.00 Bohr magnetons per cell.